A plane-wave DFT calculation with GGA+U was carried out for a geometry-optimized MoPAuO2 structure.

```
MoPAuO2
1.0
-1.7887 -2.5335 -2.1907
3.3121 -0.9689 -1.5839
0.7179 -3.8318 3.8452
P Mo Au O
1 1 1 2
Cartesian
0.3590 -1.9159 1.9226
0.0000 0.0000 0.0000
1.1206 -3.6671 0.0353
1.6561 -0.4844 -0.7919
-0.8944 -1.2668 -1.0954
```

Crystal system: tetragonal
Total DFT energy (no corrections) in eV for the cell shown: -28.64
Space-group type: P4/mmm, No. 123
M_tot in μB per formula unit: 0.8